Material: TbPrYMg
Method: DFT, PBE-GGA
State: relaxed

Output
**DOS(E_F)**: 5.9 states/eV per cell
**Magnetization**: 0.00 μB/cell
**DFT total energy**: -4.33 eV/atom

Cell: 5.594 5.594 5.594 Å, 60.00 60.00 60.00°
Fractional coordinates of all 4 atoms:
Y 0.000 0.000 0.000
Tb 0.250 0.250 0.250
Mg 0.750 0.750 0.750
Pr 0.500 0.500 0.500